VASP calculation (PBE+U) on a geometry-optimized AcCoAs2O6 structure.

Cell lengths 5.4587, 5.4587, 6.5407 Å; angles 65.34, 65.34, 60.00 degrees
Closest atoms and distances in Å follow each position.
Fractional positions:
O 0.4694 0.7378 0.7063  1 As 1.78
O 0.5306 0.2622 0.2937  1 As 1.78
O 0.9135 0.5306 0.2937  1 As 1.78
O 0.7378 0.0865 0.7063  1 As 1.78
O 0.0865 0.4694 0.7063  1 As 1.78
O 0.2622 0.9135 0.2937  1 As 1.78
As 0.7316 0.7316 0.8052  3 O 1.78
As 0.2684 0.2684 0.1948  3 O 1.78
Co 0.5000 0.5000 0.5000  6 O 2.14
Ac 0.0000 0.0000 0.0000  6 O 2.61

Calculated values
The calculation puts the electronic total energy at -63.5 eV per formula unit. The magnetization is 2.03 μB/f.u. For the density of states at the Fermi level, the calculation gives 0.214 states/eV/atom.